No. 1
Density functional theory data (SCAN) for a crystal of BaCd3Os relaxed with PBEsol.

Its formation energy is 0.63 eV/f.u.

The structure belongs to space group Pm-3m (No. 221); the cell edges are 5.190, 5.190 and 5.190 Å and the angles 90.00°, 90.00° and 90.00°. The distinct sites, in fractional coordinates, are Ba at (0.000, 0.000, 0.000), Cd at (0.000, 0.500, 0.500) and Os at (0.500, 0.500, 0.500).

No. 2
Density functional theory data (SCAN) for a crystal of BaCdOs2 relaxed with PBEsol.

Its formation energy is 3.70 eV/f.u.

The structure belongs to space group C2/m (No. 12); the cell edges are 9.676, 2.960 and 6.190 Å and the angles 90.00°, 96.91° and 90.00°. The distinct sites, in fractional coordinates, are Ba at (0.000, 0.000, 0.000), Cd at (0.000, 0.500, 0.500) and Os at (0.233, 0.000, 0.658).

No. 3
Density functional theory data (SCAN) for a crystal of BaCdOs2 relaxed with PBEsol.

Its formation energy is 5.49 eV/f.u.

The structure belongs to space group R-3m (No. 166, hexagonal axes); the cell edges are 2.9362, 2.9362 and 30.7778 Å and the angles 90.00°, 90.00° and 120.00°. The distinct sites, in fractional coordinates, are Ba at (0.0000, 0.0000, 0.0000), Cd at (0.0000, 0.0000, 0.5000) and Os at (0.0000, 0.0000, 0.2401).

No. 4
Density functional theory data (SCAN) for a crystal of BaCdOs2S relaxed with PBEsol.

The value obtained for the formation energy from raw total energies is 1.52 eV/atom.

The structure belongs to space group P4/mmm (No. 123); the cell edges are 5.011, 5.011 and 5.135 Å and the angles 90.00°, 90.00° and 90.00°. The distinct sites, in fractional coordinates, are Ba at (0.000, 0.000, 0.000), Cd at (0.500, 0.500, 0.500), Os at (0.000, 0.500, 0.500) and S at (0.500, 0.500, 0.000).

No. 5
Density functional theory data (SCAN) for a crystal of BaCd2P2 relaxed with PBEsol.

Its formation energy is -3.50 eV/f.u.

The structure belongs to space group P-3m1 (No. 164); the cell edges are 4.3769, 4.3769 and 7.4900 Å and the angles 90.00°, 90.00° and 120.00°. The distinct sites, in fractional coordinates, are Ba at (0.0000, 0.0000, 0.0000), Cd at (0.3333, 0.6667, 0.6312) and P at (0.3333, 0.6667, 0.2662).

No. 6
Density functional theory data (SCAN) for a crystal of BaCdP relaxed with PBEsol.

As for the offset from the most stable computed form: 0.0 meV/atom. Its formation energy is -2.51 eV/f.u.

The structure belongs to space group C2/m (No. 12); the cell edges are 10.900, 4.497 and 7.109 Å and the angles 90.00°, 100.23° and 90.00°. The distinct sites, in fractional coordinates, are Ba at (0.120, 0.000, 0.298), Cd at (0.118, 0.500, 0.933) and P at (0.180, 0.000, 0.763).

No. 7
Density functional theory data (SCAN) for a crystal of BaCd3P relaxed with PBEsol.

Its formation energy is 0.27 eV/f.u.

The structure belongs to space group Pm-3m (No. 221); the cell edges are 5.213, 5.213 and 5.213 Å and the angles 90.00°, 90.00° and 90.00°. The distinct sites, in fractional coordinates, are Ba at (0.000, 0.000, 0.000), Cd at (0.000, 0.500, 0.500) and P at (0.500, 0.500, 0.500).

No. 8
Density functional theory data (SCAN) for a crystal of BaCdP relaxed with PBEsol.

As for the offset from the most stable computed form: 506.9 meV/atom. Its formation energy is -0.99 eV/f.u.

The structure belongs to space group I4mm (No. 107); the cell edges are 3.750, 3.750 and 11.220 Å and the angles 90.00°, 90.00° and 90.00°. The distinct sites, in fractional coordinates, are Ba at (0.000, 0.000, 0.000), Cd at (0.000, 0.000, 0.291) and P at (0.000, 0.000, 0.698).

No. 9
Density functional theory data (SCAN) for a crystal of BaCdP2 relaxed with PBEsol.

Its formation energy is -1.38 eV/f.u.

The structure belongs to space group Cm (No. 8); the cell edges are 10.756, 3.639 and 5.485 Å and the angles 90.00°, 115.53° and 90.00°. The distinct sites, in fractional coordinates, are Ba at (0.000, 0.000, 0.000), Cd at (0.201, 0.000, 0.672), P at (0.301, 0.500, 0.332) and P at (0.447, 0.000, 0.455).

No. 10
Density functional theory data (SCAN) for a crystal of BaCd2ReP relaxed with PBEsol.

Its formation energy is -0.87 eV/f.u.

The structure belongs to space group P4/mmm (No. 123); the cell edges are 5.263, 5.263 and 4.533 Å and the angles 90.00°, 90.00° and 90.00°. The distinct sites, in fractional coordinates, are Ba at (0.000, 0.000, 0.000), Cd at (0.000, 0.500, 0.500), Re at (0.500, 0.500, 0.500) and P at (0.500, 0.500, 0.000).

No. 11
Density functional theory data (SCAN) for a crystal of BaCdPb4 relaxed with PBEsol.

Its formation energy is -1.49 eV/f.u.

The structure belongs to space group F-43m (No. 216); the cell edges are 9.160, 9.160 and 9.160 Å and the angles 90.00°, 90.00° and 90.00°. The distinct sites, in fractional coordinates, are Ba at (0.000, 0.000, 0.000), Cd at (0.250, 0.250, 0.250) and Pb at (0.125, 0.125, 0.625).

No. 12
Density functional theory data (SCAN) for a crystal of BaCdPdPt2 relaxed with PBEsol.

Its formation energy is -0.05 eV/f.u.

The structure belongs to space group P4/mmm (No. 123); the cell edges are 5.036, 5.036 and 4.880 Å and the angles 90.00°, 90.00° and 90.00°. The distinct sites, in fractional coordinates, are Ba at (0.000, 0.000, 0.000), Cd at (0.500, 0.500, 0.000), Pd at (0.500, 0.500, 0.500) and Pt at (0.000, 0.500, 0.500).

no.,total DFT energy (no corrections) (eV per atom)
1,-40.408
2,-52.507
3,-52.059
4,-43.155
5,-24.935
6,-27.624
7,-28.185
8,-27.117
9,-23.036
10,-36.548
11,-62.429
12,-48.635